The following is a DFT calculation (PBE-GGA) of a relaxed La14CeDy crystal.

Summary:
DOS at the Fermi energy	63.93	states/eV/cell
energy of formation from the pure elements	33	kJ/mol of formula units

Structure (CIF):
```
data_La14CeDy
_space_group_name_H-M_alt 'A m m 2'
_space_group_IT_number 38
_space_group_name_Hall 'A 2 -2'
_cell_length_a 10.4945
_cell_length_b 10.4450
_cell_length_c 10.4438
_cell_angle_alpha 90.00
_cell_angle_beta 90.00
_cell_angle_gamma 90.00
loop_
_atom_site_label
_atom_site_type_symbol
_atom_site_fract_x
_atom_site_fract_y
_atom_site_fract_z
La1 La 0.0000 0.0000 0.9995
La2 La 0.0000 0.0000 0.5000
La3 La 0.0000 0.2481 0.2500
La4 La 0.2531 0.0000 0.7530
La5 La 0.2550 0.2466 0.9998
La6 La 0.2568 0.0000 0.2461
La7 La 0.5000 0.2479 0.7501
Ce1 Ce 0.5000 0.0000 0.0000
Dy1 Dy 0.5000 0.0000 0.4997
```

=====

The following is a DFT calculation (PBE-GGA) of a relaxed MnFeCuMoAu crystal.

Summary:
DOS at the Fermi energy	8.36	states/eV/cell
energy of formation from the pure elements	80	kJ/mol of formula units
polymorph energy (0 for the lowest one)	44	meV/atom

Structure (CIF):
```
data_MnFeCuMoAu
_space_group_name_H-M_alt 'I 4 m m'
_space_group_IT_number 107
_space_group_name_Hall 'I 4 -2'
_cell_length_a 3.1109
_cell_length_b 3.1109
_cell_length_c 14.4571
_cell_angle_alpha 90.00
_cell_angle_beta 90.00
_cell_angle_gamma 90.00
loop_
_atom_site_label
_atom_site_type_symbol
_atom_site_fract_x
_atom_site_fract_y
_atom_site_fract_z
Mn1 Mn 0.0000 0.0000 0.0000
Fe1 Fe 0.0000 0.0000 0.4072
Cu1 Cu 0.0000 0.0000 0.1944
Mo1 Mo 0.0000 0.0000 0.5899
Au1 Au 0.0000 0.0000 0.7995
```

=====

The following is a DFT calculation (PBE-GGA) of a relaxed Eu2CuP crystal.

Summary:
DOS at the Fermi energy	62.15	states/eV/cell
energy of formation from the pure elements	-223	kJ/mol of formula units
polymorph energy (0 for the lowest one)	44	meV/atom

Structure (CIF):
```
data_Eu2CuP
_space_group_name_H-M_alt 'R -3 m'
_space_group_IT_number 166
_space_group_name_Hall '-R 3 2"'
_cell_length_a 4.2892
_cell_length_b 4.2892
_cell_length_c 21.0331
_cell_angle_alpha 90.00
_cell_angle_beta 90.00
_cell_angle_gamma 120.00
loop_
_atom_site_label
_atom_site_type_symbol
_atom_site_fract_x
_atom_site_fract_y
_atom_site_fract_z
Eu1 Eu 0.0000 0.0000 0.2416
Cu1 Cu 0.0000 0.0000 0.0000
P1 P 0.0000 0.0000 0.5000
```

=====

The following is a DFT calculation (PBE-GGA) of a relaxed Ce3PuU2N6 crystal.

Summary:
DOS at the Fermi energy	32.67	states/eV/cell
energy relative to the elements, uncorrected	-1.4338	eV per atom

Structure (CIF):
```
data_Ce3PuU2N6
_space_group_name_H-M_alt 'C 1 2/m 1'
_space_group_IT_number 12
_space_group_name_Hall '-C 2y'
_cell_length_a 6.0646
_cell_length_b 10.4917
_cell_length_c 6.0846
_cell_angle_alpha 90.00
_cell_angle_beta 109.40
_cell_angle_gamma 90.00
loop_
_atom_site_label
_atom_site_type_symbol
_atom_site_fract_x
_atom_site_fract_y
_atom_site_fract_z
Ce1 Ce 0.0000 0.0000 0.0000
Ce2 Ce 0.0000 0.3356 0.0000
Pu1 Pu 0.0000 0.5000 0.5000
U1 U 0.0000 0.1671 0.5000
N1 N 0.2256 0.0000 0.7202
N2 N 0.2484 0.3263 0.7232
```

=====

The following is a DFT calculation (PBE-GGA) of a relaxed TbPrTcAg crystal.

Summary:
DOS at the Fermi energy	16.60	states/eV/cell
energy of formation from the pure elements	-5	kJ/mol of formula units

Structure (CIF):
```
data_TbPrTcAg
_space_group_name_H-M_alt 'F -4 3 m'
_space_group_IT_number 216
_space_group_name_Hall 'F -4 2 3'
_cell_length_a 7.1870
_cell_length_b 7.1870
_cell_length_c 7.1870
_cell_angle_alpha 90.00
_cell_angle_beta 90.00
_cell_angle_gamma 90.00
loop_
_atom_site_label
_atom_site_type_symbol
_atom_site_fract_x
_atom_site_fract_y
_atom_site_fract_z
Tb1 Tb 0.0000 0.0000 0.0000
Pr1 Pr 0.0000 0.0000 0.5000
Tc1 Tc 0.2500 0.2500 0.2500
Ag1 Ag 0.2500 0.2500 0.7500
```

=====

The following is a DFT calculation (PBE-GGA) of a relaxed NaSiNi crystal.

Summary:
DOS at the Fermi energy	1.10	states/eV/cell
energy relative to the elements, uncorrected	-0.2301	eV per atom

Structure (CIF):
```
data_NaSiNi
_space_group_name_H-M_alt 'P 4/n m m'
_space_group_IT_number 129
_cell_length_a 4.0930
_cell_length_b 4.0930
_cell_length_c 6.4588
_cell_angle_alpha 90.00
_cell_angle_beta 90.00
_cell_angle_gamma 90.00
loop_
_space_group_symop_operation_xyz
'x,y,z'
'-x,-y,-z'
'-y+1/2,x,z'
'y+1/2,-x,-z'
'-x+1/2,-y+1/2,z'
'x+1/2,y+1/2,-z'
'y,-x+1/2,z'
'-y,x+1/2,-z'
'x+1/2,-y,-z'
'-x+1/2,y,z'
'-y,-x,-z'
'y,x,z'
'-x,y+1/2,-z'
'x,-y+1/2,z'
'y+1/2,x+1/2,-z'
'-y+1/2,-x+1/2,z'
loop_
_atom_site_label
_atom_site_type_symbol
_atom_site_fract_x
_atom_site_fract_y
_atom_site_fract_z
Na1 Na 0.2500 0.2500 0.1531
Si1 Si 0.2500 0.2500 0.6587
Ni1 Ni 0.2500 0.7500 0.5000
```